Material: NbV2W4
Method: DFT, PBE
State: relaxed

Cell lengths 4.6822, 4.6822, 12.6282 Å; angles 90.00, 90.00, 90.00 degrees
Last column: nearest neighbours and their distance in Å.
Element x y z (fractional)
Nb  0.0000  0.0000  0.0000  6 W 2.34-2.55
Nb  0.5000  0.5000  0.5000  6 W 2.34-2.55
V  0.0000  0.0000  0.3843  1 W 2.30
V  0.0000  0.0000  0.6157  1 W 2.30
V  0.5000  0.5000  0.1157  1 W 2.30
V  0.5000  0.5000  0.8843  1 W 2.30
W  0.0000  0.0000  0.2022  1 V 2.30, 1 Nb 2.55
W  0.0000  0.0000  0.7978  1 V 2.30, 1 Nb 2.55
W  0.0000  0.5000  0.0000  2 Nb 2.34
W  0.0000  0.5000  0.5000  2 Nb 2.34
W  0.5000  0.0000  0.0000  2 Nb 2.34
W  0.5000  0.0000  0.5000  2 Nb 2.34
W  0.5000  0.5000  0.2978  1 V 2.30, 1 Nb 2.55
W  0.5000  0.5000  0.7022  1 V 2.30, 1 Nb 2.55

Output
symmetry = I4/mmm (139)
ρ = 11158 kg/m3
Fermi-level density of states = 1.166 states/eV per atom
DFT formation energy = 1.90 eV per atom
total magnetic moment = 0.00 μB per formula unit